## BaCrPb2F8 (PBE with a Hubbard U)

Data for crystalline BaCrPb2F8 at its relaxed geometry.

Geometry as CIF:
```
data_BaCrPb2F8
_space_group_name_H-M_alt 'P -1'
_space_group_IT_number 2
_cell_length_a 4.3546
_cell_length_b 5.9611
_cell_length_c 8.3259
_cell_angle_alpha 86.41
_cell_angle_beta 86.72
_cell_angle_gamma 85.64
loop_
_space_group_symop_operation_xyz
'x,y,z'
'-x,-y,-z'
loop_
_atom_site_label
_atom_site_type_symbol
_atom_site_fract_x
_atom_site_fract_y
_atom_site_fract_z
Ba1 Ba 0.0000 0.0000 0.0000
Cr1 Cr 0.0000 0.0000 0.5000
Pb1 Pb 0.4706 0.4904 0.2598
F1 F 0.0354 0.3245 0.7614
F2 F 0.0675 0.1701 0.2864
F3 F 0.3793 0.7771 0.4688
F4 F 0.4913 0.2646 0.9974
```

Output
N(E_F) in states/eV/cell: 0.00
E in eV per cell: -65.27